First-principles (PBE-GGA) data for a relaxed structure of CaErO2, as listed in Alexandria via LeMat-Bulk.

a b c (Å): 3.3383 3.3383 17.5451
angles (deg): 90.00 90.00 120.00
Closest atoms and distances in Å follow each position.
Space group R3m (No. 160, hexagonal axes)
Inequivalent atoms, fractional coordinates:
Ca1 0.0000 0.0000 0.0000 (multiplicity 3)  6 O 2.42-2.56
Er1 0.0000 0.0000 0.1750 (multiplicity 3)  6 O 2.33-2.37
O1 0.0000 0.0000 0.5829 (multiplicity 3)  3 Er 2.33, 3 Ca 2.42
O2 0.0000 0.0000 0.7626 (multiplicity 3)  3 Er 2.37, 3 Ca 2.56

Values from the calculation:
As for the formation energy (no corrections): -10.9 eV/f.u. The total energy comes out at -82.2 eV per cell. The distance to the lowest polymorph of the same formula comes out at 138 meV per atom. As for the density of states at the Fermi level: 0.408 states/eV per atom. For the size of the total moment, the calculation gives 0.01 μB per atom.

---

First-principles (PBE-GGA) data for a relaxed structure of B2RuN, as listed in Alexandria via LeMat-Bulk.

a b c (Å): 4.4419 4.4419 7.4045
angles (deg): 90.00 90.00 90.00
Closest atoms and distances in Å follow each position.
Space group I-42d (No. 122)
Inequivalent atoms, fractional coordinates:
B1 0.1584 0.2500 0.1250 (multiplicity 8)  2 N 1.61
Ru1 0.0000 0.0000 0.5000 (multiplicity 4)  4 B 2.10
N1 0.0000 0.0000 0.0000 (multiplicity 4)  4 B 1.61

Values from the calculation:
As for the formation energy (no corrections): 1.2 eV/f.u. The total energy comes out at -119.2 eV per cell. As for the density of states at the Fermi level: 0.725 states/eV per atom. For the size of the total moment, the calculation gives 0.00 μB per atom.